Record 1
# Te2Mo meta-GGA SCAN single point on PBEsol structure
data_Te2Mo
_cell_length_a 3.4928
_cell_length_b 3.4928
_cell_length_c 13.9326
_cell_angle_alpha 90.00
_cell_angle_beta 90.00
_cell_angle_gamma 120.00
_space_group_name_H-M_alt 'P 63/m m c'
_space_group_IT_number 194
_space_group_name_Hall '-P 6c 2c'
loop_
_atom_site_label
_atom_site_type_symbol
_atom_site_fract_x
_atom_site_fract_y
_atom_site_fract_z
_atom_site_occupancy
Te1 Te 0.3333 0.6667 0.1204 1
Mo1 Mo 0.3333 0.6667 0.7500 1
# Formation energy (no corrections) in eV per atom: -0.27
# Total moment in μB/f.u.: 0.0

Record 2
# Te2Mo meta-GGA SCAN single point on PBEsol structure
data_Te2Mo
_cell_length_a 6.3185
_cell_length_b 3.4520
_cell_length_c 13.5727
_cell_angle_alpha 90.00
_cell_angle_beta 93.29
_cell_angle_gamma 90.00
_space_group_name_H-M_alt 'P 1 21/m 1'
_space_group_IT_number 11
loop_
_space_group_symop_operation_xyz
'x,y,z'
'-x,-y,-z'
'-x,y+1/2,-z'
'x,-y+1/2,z'
loop_
_atom_site_label
_atom_site_type_symbol
_atom_site_fract_x
_atom_site_fract_y
_atom_site_fract_z
_atom_site_occupancy
Te1 Te 0.0575 0.2500 0.3957 1
Te2 Te 0.0925 0.7500 0.1517 1
Te3 Te 0.4153 0.7500 0.8959 1
Te4 Te 0.4406 0.2500 0.6513 1
Mo1 Mo 0.1812 0.2500 0.0078 1
Mo2 Mo 0.3203 0.7500 0.5067 1
# Formation energy (no corrections) in eV per atom: -0.26
# Total moment in μB/f.u.: 0.0
# DOS(E_F) in states/eV per cell: 3.09

Record 3
# Te2Mo meta-GGA SCAN single point on PBEsol structure
data_Te2Mo
_cell_length_a 3.3703
_cell_length_b 16.6406
_cell_length_c 5.1316
_cell_angle_alpha 90.00
_cell_angle_beta 90.00
_cell_angle_gamma 90.00
_space_group_name_H-M_alt 'C m c m'
_space_group_IT_number 63
_space_group_name_Hall '-C 2c 2'
loop_
_atom_site_label
_atom_site_type_symbol
_atom_site_fract_x
_atom_site_fract_y
_atom_site_fract_z
_atom_site_occupancy
Te1 Te 0.0000 0.0887 0.2500 1
Te2 Te 0.0000 0.3502 0.2500 1
Mo1 Mo 0.0000 0.2807 0.7500 1
# Formation energy (no corrections) in eV per atom: 0.07
# Total moment in μB/f.u.: 0.0
# DOS(E_F) in states/eV per cell: 3.20

Record 4
# Te2Mo meta-GGA SCAN single point on PBEsol structure
data_Te2Mo
_cell_length_a 3.4923
_cell_length_b 3.4923
_cell_length_c 21.8585
_cell_angle_alpha 90.00
_cell_angle_beta 90.00
_cell_angle_gamma 120.00
_space_group_name_H-M_alt 'P -6 m 2'
_space_group_IT_number 187
_space_group_name_Hall 'P -6 2'
loop_
_atom_site_label
_atom_site_type_symbol
_atom_site_fract_x
_atom_site_fract_y
_atom_site_fract_z
_atom_site_occupancy
Te1 Te 0.0000 0.0000 0.0826 1
Te2 Te 0.3333 0.6667 0.2351 1
Te3 Te 0.3333 0.6667 0.4002 1
Mo1 Mo 0.0000 0.0000 0.3177 1
Mo2 Mo 0.3333 0.6667 0.0000 1
# Formation energy (no corrections) in eV per atom: -0.27
# Total moment in μB/f.u.: 0.0

Record 5
# TeMo5 meta-GGA SCAN single point on PBEsol structure
data_TeMo5
_cell_length_a 7.3533
_cell_length_b 7.3533
_cell_length_c 7.3533
_cell_angle_alpha 90.00
_cell_angle_beta 90.00
_cell_angle_gamma 90.00
_space_group_name_H-M_alt 'F -4 3 m'
_space_group_IT_number 216
_space_group_name_Hall 'F -4 2 3'
loop_
_atom_site_label
_atom_site_type_symbol
_atom_site_fract_x
_atom_site_fract_y
_atom_site_fract_z
_atom_site_occupancy
Te1 Te 0.0000 0.0000 0.0000 1
Mo1 Mo 0.1258 0.1258 0.6258 1
Mo2 Mo 0.2500 0.2500 0.2500 1
# Formation energy (no corrections) in eV per atom: 0.54
# Total moment in μB/f.u.: 0.0
# DOS(E_F) in states/eV per cell: 21.14

Record 6
# TeMo meta-GGA SCAN single point on PBEsol structure
data_TeMo
_cell_length_a 3.3008
_cell_length_b 4.8101
_cell_length_c 4.7591
_cell_angle_alpha 90.00
_cell_angle_beta 90.00
_cell_angle_gamma 90.00
_space_group_name_H-M_alt 'P m m n'
_space_group_IT_number 59
loop_
_space_group_symop_operation_xyz
'x,y,z'
'-x,-y,-z'
'-x+1/2,-y+1/2,z'
'x+1/2,y+1/2,-z'
'x+1/2,-y,-z'
'-x+1/2,y,z'
'-x,y+1/2,-z'
'x,-y+1/2,z'
loop_
_atom_site_label
_atom_site_type_symbol
_atom_site_fract_x
_atom_site_fract_y
_atom_site_fract_z
_atom_site_occupancy
Te1 Te 0.2500 0.2500 0.1420 1
Mo1 Mo 0.2500 0.7500 0.4028 1
# Formation energy (no corrections) in eV per atom: 0.22
# Distance to the lowest polymorph of the same formula in meV/atom: 0
# Total moment in μB/f.u.: 0.0
# DOS(E_F) in states/eV per cell: 2.06

Record 7
# TeMo4 meta-GGA SCAN single point on PBEsol structure
data_TeMo4
_cell_length_a 4.0163
_cell_length_b 4.0163
_cell_length_c 11.6899
_cell_angle_alpha 90.00
_cell_angle_beta 90.00
_cell_angle_gamma 90.00
_space_group_name_H-M_alt 'I 4/m m m'
_space_group_IT_number 139
_space_group_name_Hall '-I 4 2'
loop_
_atom_site_label
_atom_site_type_symbol
_atom_site_fract_x
_atom_site_fract_y
_atom_site_fract_z
_atom_site_occupancy
Te1 Te 0.0000 0.0000 0.0000 1
Mo1 Mo 0.0000 0.0000 0.3825 1
Mo2 Mo 0.0000 0.5000 0.2500 1
# Formation energy (no corrections) in eV per atom: 0.66
# Total moment in μB/f.u.: 0.0
# DOS(E_F) in states/eV per cell: 6.75

Record 8
# Ti3TeMo meta-GGA SCAN single point on PBEsol structure
data_Ti3TeMo
_cell_length_a 4.8236
_cell_length_b 4.8236
_cell_length_c 4.8236
_cell_angle_alpha 90.00
_cell_angle_beta 90.00
_cell_angle_gamma 90.00
_space_group_name_H-M_alt 'P m -3 m'
_space_group_IT_number 221
_space_group_name_Hall '-P 4 2 3'
loop_
_atom_site_label
_atom_site_type_symbol
_atom_site_fract_x
_atom_site_fract_y
_atom_site_fract_z
_atom_site_occupancy
Ti1 Ti 0.0000 0.0000 0.5000 1
Te1 Te 0.0000 0.0000 0.0000 1
Mo1 Mo 0.5000 0.5000 0.5000 1
# Formation energy (no corrections) in eV per atom: 1.15
# Distance to the lowest polymorph of the same formula in meV/atom: 592
# Total moment in μB/f.u.: 2.1
# DOS(E_F) in states/eV per cell: 6.22

Record 9
# Ti3TeMo meta-GGA SCAN single point on PBEsol structure
data_Ti3TeMo
_cell_length_a 4.6914
_cell_length_b 4.6914
_cell_length_c 4.6914
_cell_angle_alpha 90.00
_cell_angle_beta 90.00
_cell_angle_gamma 90.00
_space_group_name_H-M_alt 'P m -3 m'
_space_group_IT_number 221
_space_group_name_Hall '-P 4 2 3'
loop_
_atom_site_label
_atom_site_type_symbol
_atom_site_fract_x
_atom_site_fract_y
_atom_site_fract_z
_atom_site_occupancy
Ti1 Ti 0.0000 0.0000 0.5000 1
Te1 Te 0.5000 0.5000 0.5000 1
Mo1 Mo 0.0000 0.0000 0.0000 1
# Formation energy (no corrections) in eV per atom: 0.56
# Distance to the lowest polymorph of the same formula in meV/atom: 0
# Total moment in μB/f.u.: 1.3
# DOS(E_F) in states/eV per cell: 5.74

Record 10
# TiTe2Mo meta-GGA SCAN single point on PBEsol structure
data_TiTe2Mo
_cell_length_a 6.6779
_cell_length_b 6.6779
_cell_length_c 6.6779
_cell_angle_alpha 90.00
_cell_angle_beta 90.00
_cell_angle_gamma 90.00
_space_group_name_H-M_alt 'F m -3 m'
_space_group_IT_number 225
_space_group_name_Hall '-F 4 2 3'
loop_
_atom_site_label
_atom_site_type_symbol
_atom_site_fract_x
_atom_site_fract_y
_atom_site_fract_z
_atom_site_occupancy
Ti1 Ti 0.0000 0.0000 0.0000 1
Te1 Te 0.2500 0.2500 0.2500 1
Mo1 Mo 0.0000 0.0000 0.5000 1
# Formation energy (no corrections) in eV per atom: -0.06
# Total moment in μB/f.u.: 2.0
# DOS(E_F) in states/eV per cell: 8.47

Record 11
# TiTe3Mo meta-GGA SCAN single point on PBEsol structure
data_TiTe3Mo
_cell_length_a 5.2207
_cell_length_b 5.2207
_cell_length_c 5.2207
_cell_angle_alpha 90.00
_cell_angle_beta 90.00
_cell_angle_gamma 90.00
_space_group_name_H-M_alt 'P m -3 m'
_space_group_IT_number 221
_space_group_name_Hall '-P 4 2 3'
loop_
_atom_site_label
_atom_site_type_symbol
_atom_site_fract_x
_atom_site_fract_y
_atom_site_fract_z
_atom_site_occupancy
Ti1 Ti 0.0000 0.0000 0.0000 1
Te1 Te 0.0000 0.5000 0.5000 1
Mo1 Mo 0.5000 0.5000 0.5000 1
# Formation energy (no corrections) in eV per atom: 0.61
# Total moment in μB/f.u.: 3.7
# DOS(E_F) in states/eV per cell: 3.88

Record 12
# Tl2TeMo meta-GGA SCAN single point on PBEsol structure
data_Tl2TeMo
_cell_length_a 4.2218
_cell_length_b 4.2218
_cell_length_c 5.5440
_cell_angle_alpha 90.00
_cell_angle_beta 90.00
_cell_angle_gamma 90.00
_space_group_name_H-M_alt 'P 4/m m m'
_space_group_IT_number 123
_space_group_name_Hall '-P 4 2'
loop_
_atom_site_label
_atom_site_type_symbol
_atom_site_fract_x
_atom_site_fract_y
_atom_site_fract_z
_atom_site_occupancy
Tl1 Tl 0.0000 0.5000 0.0000 1
Te1 Te 0.0000 0.0000 0.5000 1
Mo1 Mo 0.5000 0.5000 0.5000 1
# Formation energy (no corrections) in eV per atom: 0.59
# Distance to the lowest polymorph of the same formula in meV/atom: 103
# Total moment in μB/f.u.: 3.9
# DOS(E_F) in states/eV per cell: 1.79

Record 13
# Tl2TeMo meta-GGA SCAN single point on PBEsol structure
data_Tl2TeMo
_cell_length_a 4.4972
_cell_length_b 3.7997
_cell_length_c 10.9108
_cell_angle_alpha 90.00
_cell_angle_beta 90.00
_cell_angle_gamma 90.00
_space_group_name_H-M_alt 'A m m 2'
_space_group_IT_number 38
loop_
_space_group_symop_operation_xyz
'x,y,z'
'-x,-y,z'
'-x,y,z'
'x,-y,z'
'x,y+1/2,z+1/2'
'-x,-y+1/2,z+1/2'
'-x,y+1/2,z+1/2'
'x,-y+1/2,z+1/2'
loop_
_atom_site_label
_atom_site_type_symbol
_atom_site_fract_x
_atom_site_fract_y
_atom_site_fract_z
_atom_site_occupancy
Tl1 Tl 0.0000 0.0000 0.0000 1
Tl2 Tl 0.5000 0.0000 0.3176 1
Te1 Te 0.5000 0.0000 0.5978 1
Mo1 Mo 0.0000 0.0000 0.7340 1
# Formation energy (no corrections) in eV per atom: 0.49
# Distance to the lowest polymorph of the same formula in meV/atom: 0
# Total moment in μB/f.u.: 0.0
# DOS(E_F) in states/eV per cell: 5.63

Record 14
# TlTe3Mo3 meta-GGA SCAN single point on PBEsol structure
data_TlTe3Mo3
_cell_length_a 9.3903
_cell_length_b 9.3903
_cell_length_c 4.5567
_cell_angle_alpha 90.00
_cell_angle_beta 90.00
_cell_angle_gamma 120.00
_space_group_name_H-M_alt 'P 63/m'
_space_group_IT_number 176
_space_group_name_Hall '-P 6c'
loop_
_atom_site_label
_atom_site_type_symbol
_atom_site_fract_x
_atom_site_fract_y
_atom_site_fract_z
_atom_site_occupancy
Tl1 Tl 0.3333 0.6667 0.2500 1
Te1 Te 0.0617 0.6904 0.7500 1
Mo1 Mo 0.0289 0.8545 0.2500 1
# Formation energy (no corrections) in eV per atom: -0.30
# Total moment in μB/f.u.: 0.0
# DOS(E_F) in states/eV per cell: 0.97

Record 15
# TlTeMo2 meta-GGA SCAN single point on PBEsol structure
data_TlTeMo2
_cell_length_a 6.0558
_cell_length_b 8.8174
_cell_length_c 3.1277
_cell_angle_alpha 90.00
_cell_angle_beta 114.38
_cell_angle_gamma 90.00
_space_group_name_H-M_alt 'C 1 2/m 1'
_space_group_IT_number 12
loop_
_space_group_symop_operation_xyz
'x,y,z'
'-x,-y,-z'
'-x,y,-z'
'x,-y,z'
'x+1/2,y+1/2,z'
'-x+1/2,-y+1/2,-z'
'-x+1/2,y+1/2,-z'
'x+1/2,-y+1/2,z'
loop_
_atom_site_label
_atom_site_type_symbol
_atom_site_fract_x
_atom_site_fract_y
_atom_site_fract_z
_atom_site_occupancy
Tl1 Tl 0.0000 0.0000 0.0000 1
Te1 Te 0.0000 0.5000 0.0000 1
Mo1 Mo 0.2500 0.2500 0.5000 1
# Formation energy (no corrections) in eV per atom: 0.95
# Distance to the lowest polymorph of the same formula in meV/atom: 235
# Total moment in μB/f.u.: 0.0
# DOS(E_F) in states/eV per cell: 7.54

Record 16
# TlTeMo4 meta-GGA SCAN single point on PBEsol structure
data_TlTeMo4
_cell_length_a 7.5649
_cell_length_b 7.5649
_cell_length_c 7.5649
_cell_angle_alpha 90.00
_cell_angle_beta 90.00
_cell_angle_gamma 90.00
_space_group_name_H-M_alt 'F -4 3 m'
_space_group_IT_number 216
_space_group_name_Hall 'F -4 2 3'
loop_
_atom_site_label
_atom_site_type_symbol
_atom_site_fract_x
_atom_site_fract_y
_atom_site_fract_z
_atom_site_occupancy
Tl1 Tl 0.0000 0.0000 0.0000 1
Te1 Te 0.2500 0.2500 0.2500 1
Mo1 Mo 0.1253 0.1253 0.6253 1
# Formation energy (no corrections) in eV per atom: 0.67
# Total moment in μB/f.u.: 0.0
# DOS(E_F) in states/eV per cell: 18.23

Record 17
# TlTe2Mo meta-GGA SCAN single point on PBEsol structure
data_TlTe2Mo
_cell_length_a 7.0911
_cell_length_b 7.0911
_cell_length_c 7.0911
_cell_angle_alpha 90.00
_cell_angle_beta 90.00
_cell_angle_gamma 90.00
_space_group_name_H-M_alt 'F m -3 m'
_space_group_IT_number 225
_space_group_name_Hall '-F 4 2 3'
loop_
_atom_site_label
_atom_site_type_symbol
_atom_site_fract_x
_atom_site_fract_y
_atom_site_fract_z
_atom_site_occupancy
Tl1 Tl 0.0000 0.0000 0.0000 1
Te1 Te 0.2500 0.2500 0.2500 1
Mo1 Mo 0.0000 0.0000 0.5000 1
# Formation energy (no corrections) in eV per atom: 0.58
# Total moment in μB/f.u.: 0.0
# DOS(E_F) in states/eV per cell: 11.44

Record 18
# TlTe2Mo meta-GGA SCAN single point on PBEsol structure
data_TlTe2Mo
_cell_length_a 3.2561
_cell_length_b 4.8345
_cell_length_c 12.8712
_cell_angle_alpha 90.00
_cell_angle_beta 90.00
_cell_angle_gamma 90.00
_space_group_name_H-M_alt 'I m m m'
_space_group_IT_number 71
_space_group_name_Hall '-I 2 2'
loop_
_atom_site_label
_atom_site_type_symbol
_atom_site_fract_x
_atom_site_fract_y
_atom_site_fract_z
_atom_site_occupancy
Tl1 Tl 0.0000 0.0000 0.0000 1
Te1 Te 0.0000 0.5000 0.1724 1
Mo1 Mo 0.0000 0.0000 0.5000 1
# Formation energy (no corrections) in eV per atom: 0.26
# Total moment in μB/f.u.: 0.0
# DOS(E_F) in states/eV per cell: 7.51

Record 19
# TlTeMo2 meta-GGA SCAN single point on PBEsol structure
data_TlTeMo2
_cell_length_a 4.6502
_cell_length_b 4.6502
_cell_length_c 3.3206
_cell_angle_alpha 90.00
_cell_angle_beta 90.00
_cell_angle_gamma 90.00
_space_group_name_H-M_alt 'P 4/m m m'
_space_group_IT_number 123
_space_group_name_Hall '-P 4 2'
loop_
_atom_site_label
_atom_site_type_symbol
_atom_site_fract_x
_atom_site_fract_y
_atom_site_fract_z
_atom_site_occupancy
Tl1 Tl 0.0000 0.0000 0.0000 1
Te1 Te 0.5000 0.5000 0.0000 1
Mo1 Mo 0.0000 0.5000 0.5000 1
# Formation energy (no corrections) in eV per atom: 0.72
# Distance to the lowest polymorph of the same formula in meV/atom: 0
# Total moment in μB/f.u.: 0.0
# DOS(E_F) in states/eV per cell: 3.88

Record 20
# TlTeMo meta-GGA SCAN single point on PBEsol structure
data_TlTeMo
_cell_length_a 4.9539
_cell_length_b 4.9539
_cell_length_c 2.9824
_cell_angle_alpha 90.00
_cell_angle_beta 90.00
_cell_angle_gamma 120.00
_space_group_name_H-M_alt 'P -6 m 2'
_space_group_IT_number 187
_space_group_name_Hall 'P -6 2'
loop_
_atom_site_label
_atom_site_type_symbol
_atom_site_fract_x
_atom_site_fract_y
_atom_site_fract_z
_atom_site_occupancy
Tl1 Tl 0.0000 0.0000 0.0000 1
Te1 Te 0.6667 0.3333 0.5000 1
Mo1 Mo 0.3333 0.6667 0.5000 1
# Formation energy (no corrections) in eV per atom: 0.76
# Total moment in μB/f.u.: 0.0
# DOS(E_F) in states/eV per cell: 2.32